# 1
Compound: Ba3Y
Source: the Alexandria database
Functional: PBE
Structure: relaxed

The structure belongs to space group I4/mmm (No. 139); the cell edges are 5.922, 5.922 and 11.703 Å and the angles 90.00°, 90.00° and 90.00°. Symmetry generates all atoms from Ba at (0.000, 0.000, 0.000), Ba at (0.000, 0.500, 0.250) and Y at (0.000, 0.000, 0.500).

The formation energy is 0.228 eV/atom. The value obtained for the volume is 51.31 A^3/atom. For the excess energy over the best structure of this formula in the dataset, the calculation gives 60 meV per atom.



# 2
Compound: Ba3Y
Source: the Alexandria database
Functional: PBE
Structure: relaxed

The structure belongs to space group Pm-3m (No. 221); the cell edges are 5.906, 5.906 and 5.906 Å and the angles 90.00°, 90.00° and 90.00°. Symmetry generates all atoms from Ba at (0.000, 0.000, 0.500) and Y at (0.500, 0.500, 0.500).

The formation energy is 0.235 eV/atom. The value obtained for the volume is 51.51 A^3/atom. For the excess energy over the best structure of this formula in the dataset, the calculation gives 67 meV per atom.



# 3
Compound: Ba3Y
Source: the Alexandria database
Functional: PBE
Structure: relaxed

The structure belongs to space group R-3m (No. 166, hexagonal axes); the cell edges are 4.1699, 4.1699 and 41.0951 Å and the angles 90.00°, 90.00° and 120.00°. Symmetry generates all atoms from Ba at (0.0000, 0.0000, 0.0000), Ba at (0.0000, 0.0000, 0.2417) and Y at (0.0000, 0.0000, 0.5000).

The formation energy is 0.190 eV/atom. The value obtained for the volume is 51.57 A^3/atom. For the excess energy over the best structure of this formula in the dataset, the calculation gives 22 meV per atom.



# 4
Compound: Ba4Y5
Source: the Alexandria database
Functional: PBE
Structure: relaxed

The structure belongs to space group P6_3/mcm (No. 193); the cell edges are 10.7262, 10.7262 and 7.3872 Å and the angles 90.00°, 90.00° and 120.00°. Symmetry generates all atoms from Ba at (0.0000, 0.0000, 0.0000), Ba at (0.0000, 0.3084, 0.2500), Y at (0.0000, 0.3761, 0.7500) and Y at (0.3333, 0.6667, 0.0000).

The formation energy is 0.320 eV/atom. The value obtained for the volume is 40.89 A^3/atom. For the excess energy over the best structure of this formula in the dataset, the calculation gives 71 meV per atom.



# 5
Compound: Ba3Y
Source: the Alexandria database
Functional: PBE
Structure: relaxed

The structure belongs to space group P-6m2 (No. 187); the cell edges are 4.1586, 4.1586 and 13.6758 Å and the angles 90.00°, 90.00° and 120.00°. Symmetry generates all atoms from Ba at (0.0000, 0.0000, 0.0000), Ba at (0.3333, 0.6667, 0.2729) and Y at (0.0000, 0.0000, 0.5000).

The formation energy is 0.183 eV/atom. The value obtained for the volume is 51.21 A^3/atom. For the excess energy over the best structure of this formula in the dataset, the calculation gives 15 meV per atom.



# 6
Compound: BaY7
Source: the Alexandria database
Functional: PBE
Structure: relaxed

The structure belongs to space group Fm-3m (No. 225); the cell edges are 10.284, 10.284 and 10.284 Å and the angles 90.00°, 90.00° and 90.00°. Symmetry generates all atoms from Ba at (0.000, 0.000, 0.000), Y at (0.000, 0.000, 0.500) and Y at (0.000, 0.250, 0.250).

The formation energy is 0.143 eV/atom. The value obtained for the volume is 33.99 A^3/atom.



What did the fourth record say?
Compound: Ba4Y5
Source: the Alexandria database
Functional: PBE
Structure: relaxed

The structure belongs to space group P6_3/mcm (No. 193); the cell edges are 10.7262, 10.7262 and 7.3872 Å and the angles 90.00°, 90.00° and 120.00°. Symmetry generates all atoms from Ba at (0.0000, 0.0000, 0.0000), Ba at (0.0000, 0.3084, 0.2500), Y at (0.0000, 0.3761, 0.7500) and Y at (0.3333, 0.6667, 0.0000).

The formation energy is 0.320 eV/atom. The value obtained for the volume is 40.89 A^3/atom. For the excess energy over the best structure of this formula in the dataset, the calculation gives 71 meV per atom.



What is the volume in the first record? 51.31 A^3/atom



What did the third record say?
Compound: Ba3Y
Source: the Alexandria database
Functional: PBE
Structure: relaxed

The structure belongs to space group R-3m (No. 166, hexagonal axes); the cell edges are 4.1699, 4.1699 and 41.0951 Å and the angles 90.00°, 90.00° and 120.00°. Symmetry generates all atoms from Ba at (0.0000, 0.0000, 0.0000), Ba at (0.0000, 0.0000, 0.2417) and Y at (0.0000, 0.0000, 0.5000).

The formation energy is 0.190 eV/atom. The value obtained for the volume is 51.57 A^3/atom. For the excess energy over the best structure of this formula in the dataset, the calculation gives 22 meV per atom.